## V2Ag5F12 (GGA+U)

Data for a relaxed structure of V2Ag5F12.

Cell: 7.2385 7.2385 7.6643 Å, 107.58 107.58 51.23°
With the nearest neighbours (Å) after each atom.
Atoms (fractional coordinates):
V1 0.2500 0.7500 0.0000  6 F 1.92-2.04
V2 0.7500 0.2500 0.0000  6 F 1.92-2.04
Ag1 0.0000 0.0000 0.5000  4 F 2.22
Ag2 0.2873 0.2873 0.5880  5 F 2.42-2.70
Ag3 0.3025 0.3025 0.1920  7 F 2.45-2.73
Ag4 0.6975 0.6975 0.8080  7 F 2.45-2.73
Ag5 0.7127 0.7127 0.4120  5 F 2.42-2.70
F1 0.0069 0.0069 0.1692  2 V 2.01
F2 0.1004 0.6309 0.4408  4 Ag 2.22-2.45
F3 0.1041 0.5852 0.9265  1 V 1.92
F4 0.3691 0.8996 0.5592  4 Ag 2.22-2.45
F5 0.4148 0.8959 0.0735  1 V 1.92
F6 0.4938 0.4938 0.8267  2 V 2.04
F7 0.5062 0.5062 0.1733  2 V 2.04
F8 0.5852 0.1041 0.9265  1 V 1.92
F9 0.6309 0.1004 0.4408  4 Ag 2.22-2.45
F10 0.8959 0.4148 0.0735  1 V 1.92
F11 0.8996 0.3691 0.5592  4 Ag 2.22-2.45
F12 0.9931 0.9931 0.8308  2 V 2.01

Summary:
* V: 295.00 Å³ per cell
* total energy: -85.69 eV/cell
* crystal system: monoclinic